Computed, not measured: a geometry-optimized Ce5Pu2Pb structure at the PBE level of DFT.

Cell and atoms, written as POSCAR:
```
Ce5Pu2Pb
1.0
-3.7948 -4.7622 2.7238
5.4657 -2.7288 2.6795
-1.4031 6.4143 1.1736
Ce Pu Pb
5 2 1
direct
0.7780 0.7784 0.5001
0.2780 0.2781 0.4997
0.7775 0.2782 0.0002
0.2780 0.7769 0.9999
0.2779 0.2777 0.0001
0.2778 0.7783 0.5006
0.7776 0.2774 0.4996
0.7781 0.7780 0.9999
```

Values from the calculation:
density	11.0	Mg/m³
energy relative to the elements	-0.5	eV per formula unit
Fermi-level density of states	23.27	states/eV per cell
magnetization	11.707	μB per formula unit